Here is InSiAs2Br after structural relaxation from Alexandria. Energies are from PBE.

```
InSiAs2Br
1.0
5.250 0.000 0.000
0.000 5.250 0.000
0.000 0.000 5.340
In Si As Br
1 1 2 1
Cartesian
0.000 0.000 0.000 In
2.625 2.625 2.670 Si
0.000 2.625 0.000 As
2.625 0.000 0.000 As
0.000 0.000 2.670 Br
```

Size of the total moment in μB/f.u.: 0.45
Calculated volume in Å³/f.u.: 147.2
Uncorrected energy in eV per formula unit: -14.5
Space-group type: P4/mmm
E_form (uncorrected) in eV per atom: 0.9322
Crystal system: tetragonal